w.
# KOs3Pd

An optimized crystal structure of KOs3Pd (GGA-PBE, Alexandria via LeMat-Bulk).

V	93	Å³/cell

Lattice parameters (Å, degrees): 4.526 4.526 4.526 90.00 90.00 90.00
Site moments in Bohr magnetons follow the coordinates.
Fractional positions:
K (0.000, 0.000, 0.000)  0.00
Os (0.000, 0.500, 0.000)  0.59
Os (0.000, 0.000, 0.500)  0.45
Os (0.500, 0.000, 0.000)  0.70
Pd (0.500, 0.500, 0.500)  0.24

x.
# KOs3Pd

An optimized crystal structure of KOs3Pd (GGA-PBE, Alexandria via LeMat-Bulk).

V	119	Å³/cell

Lattice parameters (Å, degrees): 4.920 4.920 4.920 90.00 90.00 90.00
Site moments in Bohr magnetons follow the coordinates.
Fractional positions:
K (0.500, 0.500, 0.500)  0.00
Os (0.000, 0.500, 0.000)  2.05
Os (0.000, 0.000, 0.500)  2.50
Os (0.500, 0.000, 0.000)  1.39
Pd (0.000, 0.000, 0.000)  0.56

Stability comparison, relative energies in eV/atom: w 1.291; x 0.000

w.
# K2Os2Pd

An optimized crystal structure of K2Os2Pd (GGA-PBE, Alexandria via LeMat-Bulk).

V	241	Å³/cell

Lattice parameters (Å, degrees): 6.529 6.529 5.651 90.00 90.00 90.00
Fractional positions:
K (0.181, 0.681, 0.500)
K (0.681, 0.819, 0.500)
K (0.819, 0.319, 0.500)
K (0.319, 0.181, 0.500)
Os (0.378, 0.878, 0.000)
Os (0.878, 0.622, 0.000)
Os (0.622, 0.122, 0.000)
Os (0.122, 0.378, 0.000)
Pd (0.000, 0.000, 0.000)
Pd (0.500, 0.500, 0.000)

x.
# K2Os2Pd

An optimized crystal structure of K2Os2Pd (GGA-PBE, Alexandria via LeMat-Bulk).

V	114	Å³/cell

Lattice parameters (Å, degrees): 3.891 3.891 8.002 75.93 75.93 90.00
Site moments in Bohr magnetons follow the coordinates.
Fractional positions:
K (0.750, 0.250, 0.500)  0.08
K (0.250, 0.750, 0.500)  0.08
Os (0.424, 0.424, 0.151)  1.56
Os (0.576, 0.576, 0.849)  1.56
Pd (0.000, 0.000, 0.000)  0.16

Stability comparison, relative energies in eV/atom: w 0.000; x 0.937